The following is a PBE calculation of a relaxed SrLiW2 crystal, from Alexandria.

## Properties
- N(E_F) (states/eV/atom) = 0.60
- formation energy from the elements (kJ/mol of atoms) = 82
- E (eV per atom) = -6.52
- E above lowest polymorph (eV per atom) = 0.2237
- M_tot (μB/f.u.) = 0.00

Cell lengths 3.034, 4.577, 11.017 Å; angles 90.00, 90.00, 90.00 degrees
Space group Immm (No. 71)
Inequivalent atoms, fractional coordinates:
1 Sr 0.000 0.000 0.000 (multiplicity 2)
2 Li 0.000 0.000 0.500 (multiplicity 2)
3 W 0.000 0.500 0.232 (multiplicity 4)

=====

The following is a PBE calculation of a relaxed Th3Ni4P4 crystal, from Alexandria.

## Properties
- N(E_F) (states/eV/atom) = 0.47
- formation energy from the elements (kJ/mol of atoms) = -109
- E (eV per atom) = -7.22
- M_tot (μB/f.u.) = 0.00

Cell lengths 3.928, 3.988, 23.958 Å; angles 90.00, 90.00, 90.00 degrees
Space group Immm (No. 71)
Inequivalent atoms, fractional coordinates:
1 Th 0.000 0.000 0.000 (multiplicity 2)
2 Th 0.000 0.500 0.350 (multiplicity 4)
3 Ni 0.000 0.000 0.250 (multiplicity 4)
4 Ni 0.000 0.500 0.103 (multiplicity 4)
5 P 0.000 0.000 0.443 (multiplicity 4)
6 P 0.000 0.500 0.199 (multiplicity 4)